Entry 1:
Compound: Be3RhBr
Source: Alexandria via LeMat-Bulk
Functional: PBE-GGA
Structure: relaxed

distance to the lowest polymorph of the same formula	872.9	meV/atom
uncorrected formation energy	1.3933	eV/atom
magnetization	0.0	μB per formula unit
calculated total energy	-13.237	eV for the cell shown

Lattice parameters (Å, degrees): 4.190 4.190 4.190 90.00 90.00 90.00
Space group Pm-3m (No. 221)
One atom of each set of equivalent atoms:
Be (0.000, 0.000, 0.500) (multiplicity 3)
Rh (0.500, 0.500, 0.500) (multiplicity 1)
Br (0.000, 0.000, 0.000) (multiplicity 1)



Entry 2:
Compound: CrIn2Pb
Source: Alexandria via LeMat-Bulk
Functional: PBE-GGA
Structure: relaxed

DFT formation energy	0.34	eV per atom
magnetization	4.2	μB per formula unit
calculated total energy	-17.465	eV for the cell shown

Lattice parameters (Å, degrees): 4.499 4.499 4.808 90.00 90.00 90.00
Space group P4/mmm (No. 123)
One atom of each set of equivalent atoms:
Cr (0.000, 0.000, 0.000) (multiplicity 1)
In (0.000, 0.500, 0.500) (multiplicity 2)
Pb (0.500, 0.500, 0.000) (multiplicity 1)



Entry 3:
Compound: Mg2B2Ir5Pt
Source: Alexandria via LeMat-Bulk
Functional: PBE-GGA
Structure: relaxed

DFT formation energy	-0.35	eV per atom
magnetization	0.0	μB per formula unit
calculated total energy	-140.691	eV for the cell shown

Lattice parameters (Å, degrees): 9.696 9.696 2.923 90.00 90.00 90.00
Space group P4/mbm (No. 127)
One atom of each set of equivalent atoms:
Mg (0.178, 0.322, 0.000) (multiplicity 4)
B (0.123, 0.623, 0.000) (multiplicity 4)
Ir (0.000, 0.500, 0.500) (multiplicity 2)
Ir (0.072, 0.777, 0.500) (multiplicity 8)
Pt (0.000, 0.000, 0.000) (multiplicity 2)



Entry 4:
Compound: V3TcP
Source: Alexandria via LeMat-Bulk
Functional: PBE-GGA
Structure: relaxed

distance to the lowest polymorph of the same formula	1383.6	meV/atom
DFT formation energy	1.18	eV per atom
magnetization	0.9	μB per formula unit
calculated total energy	-37.209	eV for the cell shown

Lattice parameters (Å, degrees): 4.511 4.511 4.511 90.00 90.00 90.00
Space group Pm-3m (No. 221)
One atom of each set of equivalent atoms:
V (0.000, 0.000, 0.500) (multiplicity 3)
Tc (0.000, 0.000, 0.000) (multiplicity 1)
P (0.500, 0.500, 0.500) (multiplicity 1)



Entry 5:
Compound: Tl2PCl
Source: Alexandria via LeMat-Bulk
Functional: PBE-GGA
Structure: relaxed

distance to the lowest polymorph of the same formula	33.8	meV/atom
uncorrected formation energy	-0.1759	eV/atom
magnetization	0.0	μB per formula unit
calculated total energy	-25.385	eV for the cell shown

Lattice parameters (Å, degrees): 7.416 4.370 7.167 90.00 101.77 90.00
Space group C2/m (No. 12)
One atom of each set of equivalent atoms:
Tl (0.207, 0.000, 0.198) (multiplicity 4)
P (0.000, 0.500, 0.000) (multiplicity 2)
Cl (0.000, 0.000, 0.500) (multiplicity 2)



Entry 6:
Compound: ZnCu2H
Source: Alexandria via LeMat-Bulk
Functional: PBE-GGA
Structure: relaxed

distance to the lowest polymorph of the same formula	481.8	meV/atom
magnetization	0.0	μB per formula unit
calculated total energy	-42.706	eV for the cell shown

Lattice parameters (Å, degrees): 5.676 5.676 5.676 90.00 90.00 90.00
Space group Fm-3m (No. 225)
One atom of each set of equivalent atoms:
Zn (0.000, 0.000, 0.000) (multiplicity 4)
Cu (0.250, 0.250, 0.250) (multiplicity 8)
H (0.000, 0.000, 0.500) (multiplicity 4)



What is the calculated total energy in the second record?
-17.465 eV for the cell shown